(1)
VASP calculation (GGA-PBE) on crystalline LaSmNi at its relaxed geometry.

Cell lengths 6.952, 6.952, 6.952 Å; angles 150.60, 150.60, 42.07 degrees
Sites, in units of the cell vectors:
1 La 0.000 0.000 0.000
2 Sm 0.745 0.745 0.000
3 Ni 0.364 0.364 0.000

Formation enthalpy at 0 K = -0.153 eV/atom
D(E_F) = 1.412 states/eV per atom
Offset from the most stable computed form = 0.005 eV/atom



(2)
VASP calculation (GGA-PBE) on crystalline MgCo2RuN at its relaxed geometry.

Cell lengths 3.810, 3.810, 4.007 Å; angles 90.00, 90.00, 90.00 degrees
Sites, in units of the cell vectors:
1 Mg 0.000 0.000 0.000
2 Co 0.000 0.500 0.500
3 Co 0.500 0.000 0.500
4 Ru 0.500 0.500 0.000
5 N 0.500 0.500 0.500

Raw formation energy = -0.073 eV per atom
D(E_F) = 0.805 states/eV per atom



(3)
VASP calculation (GGA-PBE) on crystalline CoAs2Br at its relaxed geometry.

Cell lengths 2.734, 3.349, 8.810 Å; angles 90.00, 90.00, 90.00 degrees
Sites, in units of the cell vectors:
1 Co 0.000 0.000 0.000
2 As 0.500 0.500 0.154
3 As 0.500 0.500 0.846
4 Br 0.000 0.000 0.500

Raw formation energy = 0.021 eV per atom
D(E_F) = 0.703 states/eV per atom
Offset from the most stable computed form = 0.145 eV/atom



(4)
VASP calculation (GGA-PBE) on crystalline KNaAg2Cl5 at its relaxed geometry.

Cell lengths 4.992, 4.992, 9.786 Å; angles 90.00, 90.00, 90.00 degrees
Sites, in units of the cell vectors:
1 K 0.000 0.000 0.000
2 Na 0.000 0.000 0.500
3 Ag 0.500 0.500 0.280
4 Ag 0.500 0.500 0.720
5 Cl 0.000 0.500 0.315
6 Cl 0.000 0.500 0.685
7 Cl 0.500 0.000 0.315
8 Cl 0.500 0.000 0.685
9 Cl 0.500 0.500 0.000

Raw formation energy = -1.050 eV per atom
D(E_F) = 0.133 states/eV per atom



(5)
VASP calculation (GGA-PBE) on crystalline NaPrMgGa at its relaxed geometry.

Cell lengths 5.152, 5.152, 5.152 Å; angles 60.00, 60.00, 60.00 degrees
Sites, in units of the cell vectors:
1 Na 0.000 0.000 0.000
2 Pr 0.750 0.750 0.750
3 Mg 0.250 0.250 0.250
4 Ga 0.500 0.500 0.500

Formation enthalpy at 0 K = -0.164 eV/atom
D(E_F) = 0.686 states/eV per atom



(6)
VASP calculation (GGA-PBE) on crystalline LiHgPb2 at its relaxed geometry.

Cell lengths 3.523, 3.523, 8.149 Å; angles 90.00, 90.00, 90.00 degrees
Sites, in units of the cell vectors:
1 Li 0.000 0.000 0.000
2 Hg 0.500 0.500 0.829
3 Pb 0.000 0.000 0.548
4 Pb 0.500 0.500 0.243

Formation enthalpy at 0 K = -0.150 eV/atom
D(E_F) = 0.568 states/eV per atom



(7)
VASP calculation (GGA-PBE) on crystalline TbPmU2P4 at its relaxed geometry.

Cell lengths 6.892, 3.980, 7.019 Å; angles 90.00, 109.12, 90.00 degrees
Sites, in units of the cell vectors:
1 Tb 0.000 0.000 0.000
2 Pm 0.500 0.500 0.000
3 U 0.000 0.500 0.500
4 U 0.500 0.000 0.500
5 P 0.243 0.000 0.738
6 P 0.250 0.500 0.259
7 P 0.750 0.500 0.741
8 P 0.757 0.000 0.262

Formation enthalpy at 0 K = -1.277 eV/atom
D(E_F) = 1.144 states/eV per atom



(8)
VASP calculation (GGA-PBE) on crystalline NdMgNi4Sn2 at its relaxed geometry.

Cell lengths 8.780, 8.780, 8.780 Å; angles 28.58, 28.58, 28.58 degrees
Sites, in units of the cell vectors:
1 Nd 0.000 0.000 0.000
2 Mg 0.500 0.500 0.500
3 Ni 0.131 0.131 0.131
4 Ni 0.401 0.401 0.401
5 Ni 0.599 0.599 0.599
6 Ni 0.869 0.869 0.869
7 Sn 0.241 0.241 0.241
8 Sn 0.759 0.759 0.759

Formation enthalpy at 0 K = -0.341 eV/atom
D(E_F) = 0.625 states/eV per atom



(9)
VASP calculation (GGA-PBE) on crystalline Th2SbI at its relaxed geometry.

Cell lengths 5.476, 5.476, 5.476 Å; angles 60.00, 60.00, 60.00 degrees
Sites, in units of the cell vectors:
1 Th 0.250 0.250 0.250
2 Th 0.750 0.750 0.750
3 Sb 0.000 0.000 0.000
4 I 0.500 0.500 0.500

Raw formation energy = -0.717 eV per atom
D(E_F) = 0.542 states/eV per atom



(10)
VASP calculation (GGA-PBE) on crystalline DyNi4As2 at its relaxed geometry.

Cell lengths 7.249, 7.249, 3.781 Å; angles 90.00, 90.00, 90.00 degrees
Sites, in units of the cell vectors:
1 Dy 0.000 0.000 0.000
2 Dy 0.500 0.500 0.500
3 Ni 0.088 0.346 0.500
4 Ni 0.154 0.588 0.000
5 Ni 0.346 0.088 0.500
6 Ni 0.412 0.846 0.000
7 Ni 0.588 0.154 0.000
8 Ni 0.654 0.912 0.500
9 Ni 0.846 0.412 0.000
10 Ni 0.912 0.654 0.500
11 As 0.218 0.782 0.500
12 As 0.282 0.282 0.000
13 As 0.718 0.718 0.000
14 As 0.782 0.218 0.500

Formation enthalpy at 0 K = -0.634 eV/atom
D(E_F) = 0.535 states/eV per atom



(11)
VASP calculation (GGA-PBE) on crystalline MnHg3S4 at its relaxed geometry.

Cell lengths 7.014, 7.014, 7.014 Å; angles 128.83, 128.83, 75.28 degrees
Sites, in units of the cell vectors:
1 Mn 0.000 0.000 0.000
2 Hg 0.250 0.750 0.500
3 Hg 0.500 0.500 0.000
4 Hg 0.750 0.250 0.500
5 S 0.097 0.097 0.410
6 S 0.314 0.903 0.000
7 S 0.686 0.686 0.590
8 S 0.903 0.314 0.000

Raw formation energy = -0.115 eV per atom
D(E_F) = 0.339 states/eV per atom
Offset from the most stable computed form = 0.126 eV/atom



(12)
VASP calculation (GGA-PBE) on crystalline Ag2Cl at its relaxed geometry.

Cell lengths 6.842, 6.842, 5.979 Å; angles 113.57, 113.57, 32.99 degrees
Sites, in units of the cell vectors:
1 Ag 0.070 0.070 0.253
2 Ag 0.399 0.399 0.056
3 Ag 0.601 0.601 0.944
4 Ag 0.930 0.930 0.747
5 Cl 0.176 0.176 0.714
6 Cl 0.824 0.824 0.286

Raw formation energy = -0.211 eV per atom
D(E_F) = 0.046 states/eV per atom
Offset from the most stable computed form = 0.010 eV/atom



(13)
VASP calculation (GGA-PBE) on crystalline CaIn3Pt at its relaxed geometry.

Cell lengths 9.048, 4.452, 12.020 Å; angles 90.00, 90.00, 90.00 degrees
Sites, in units of the cell vectors:
1 Ca 0.199 0.250 0.002
2 Ca 0.301 0.750 0.502
3 Ca 0.699 0.250 0.498
4 Ca 0.801 0.750 0.998
5 In 0.057 0.250 0.413
6 In 0.091 0.750 0.195
7 In 0.152 0.750 0.791
8 In 0.348 0.250 0.291
9 In 0.409 0.250 0.695
10 In 0.443 0.750 0.913
11 In 0.557 0.250 0.087
12 In 0.591 0.750 0.305
13 In 0.652 0.750 0.709
14 In 0.848 0.250 0.209
15 In 0.909 0.250 0.805
16 In 0.943 0.750 0.587
17 Pt 0.120 0.250 0.639
18 Pt 0.380 0.750 0.139
19 Pt 0.620 0.250 0.861
20 Pt 0.880 0.750 0.361

Formation enthalpy at 0 K = -0.523 eV/atom
D(E_F) = 0.371 states/eV per atom



(14)
VASP calculation (GGA-PBE) on crystalline Na2BiIr2 at its relaxed geometry.

Cell lengths 6.754, 6.754, 5.018 Å; angles 90.00, 90.00, 90.00 degrees
Sites, in units of the cell vectors:
1 Na 0.165 0.335 0.000
2 Na 0.335 0.835 0.000
3 Na 0.665 0.165 0.000
4 Na 0.835 0.665 0.000
5 Bi 0.000 0.000 0.500
6 Bi 0.500 0.500 0.500
7 Ir 0.127 0.627 0.500
8 Ir 0.373 0.127 0.500
9 Ir 0.627 0.873 0.500
10 Ir 0.873 0.373 0.500

Formation enthalpy at 0 K = 0.241 eV/atom
D(E_F) = 0.565 states/eV per atom
Offset from the most stable computed form = 0.000 eV/atom



(15)
VASP calculation (GGA-PBE) on crystalline Cs3NdU2Se9 at its relaxed geometry.

Cell lengths 7.849, 7.849, 9.652 Å; angles 90.00, 90.00, 120.00 degrees
Sites, in units of the cell vectors:
1 Cs 0.000 0.000 0.000
2 Cs 0.333 0.667 0.664
3 Cs 0.667 0.333 0.336
4 Nd 0.000 0.000 0.500
5 U 0.333 0.667 0.163
6 U 0.667 0.333 0.837
7 Se 0.000 0.500 0.000
8 Se 0.174 0.347 0.320
9 Se 0.174 0.826 0.320
10 Se 0.347 0.174 0.680
11 Se 0.500 0.000 0.000
12 Se 0.500 0.500 0.000
13 Se 0.653 0.826 0.320
14 Se 0.826 0.174 0.680
15 Se 0.826 0.653 0.680

Raw formation energy = -1.257 eV per atom
D(E_F) = 0.286 states/eV per atom



(16)
VASP calculation (GGA-PBE) on crystalline ZnGePO2 at its relaxed geometry.

Cell lengths 3.628, 3.628, 5.348 Å; angles 90.00, 90.00, 90.00 degrees
Sites, in units of the cell vectors:
1 Zn 0.000 0.000 0.000
2 Ge 0.500 0.500 0.500
3 P 0.500 0.500 0.000
4 O 0.000 0.500 0.500
5 O 0.500 0.000 0.500

Raw formation energy = -0.361 eV per atom
D(E_F) = 0.744 states/eV per atom
Offset from the most stable computed form = 0.000 eV/atom



(17)
VASP calculation (GGA-PBE) on crystalline TbUMn2 at its relaxed geometry.

Cell lengths 4.439, 4.439, 5.912 Å; angles 109.93, 109.93, 47.16 degrees
Sites, in units of the cell vectors:
1 Tb 0.000 0.000 0.000
2 U 0.836 0.836 0.408
3 Mn 0.233 0.233 0.601
4 Mn 0.547 0.547 0.605

Formation enthalpy at 0 K = 0.304 eV/atom
D(E_F) = 2.013 states/eV per atom



(18)
VASP calculation (GGA-PBE) on crystalline Ta2Nb2Tl at its relaxed geometry.

Cell lengths 7.581, 7.581, 3.522 Å; angles 90.00, 90.00, 90.00 degrees
Sites, in units of the cell vectors:
1 Ta 0.154 0.346 0.000
2 Ta 0.346 0.846 0.000
3 Ta 0.654 0.154 0.000
4 Ta 0.846 0.654 0.000
5 Nb 0.140 0.640 0.500
6 Nb 0.360 0.140 0.500
7 Nb 0.640 0.860 0.500
8 Nb 0.860 0.360 0.500
9 Tl 0.000 0.000 0.500
10 Tl 0.500 0.500 0.500

Formation enthalpy at 0 K = 0.545 eV/atom
D(E_F) = 0.959 states/eV per atom
Offset from the most stable computed form = 0.000 eV/atom



(19)
VASP calculation (GGA-PBE) on crystalline Li3U3S8 at its relaxed geometry.

Cell lengths 7.637, 7.637, 7.637 Å; angles 63.10, 63.10, 63.10 degrees
Sites, in units of the cell vectors:
1 Li 0.000 0.000 0.000
2 Li 0.388 0.388 0.388
3 Li 0.612 0.612 0.612
4 U 0.000 0.000 0.500
5 U 0.000 0.500 0.000
6 U 0.500 0.000 0.000
7 S 0.222 0.756 0.756
8 S 0.244 0.244 0.778
9 S 0.244 0.778 0.244
10 S 0.246 0.246 0.246
11 S 0.754 0.754 0.754
12 S 0.756 0.222 0.756
13 S 0.756 0.756 0.222
14 S 0.778 0.244 0.244

Raw formation energy = -1.347 eV per atom
D(E_F) = 1.101 states/eV per atom



(20)
VASP calculation (GGA-PBE) on crystalline HgMo2Ir at its relaxed geometry.

Cell lengths 9.702, 9.702, 9.702 Å; angles 16.89, 16.89, 16.89 degrees
Sites, in units of the cell vectors:
1 Hg 0.000 0.000 0.000
2 Mo 0.245 0.245 0.245
3 Mo 0.494 0.494 0.494
4 Ir 0.756 0.756 0.756

Formation enthalpy at 0 K = 0.307 eV/atom
D(E_F) = 0.980 states/eV per atom



(21)
VASP calculation (GGA-PBE) on crystalline Na3Ho3TaO8 at its relaxed geometry.

Cell lengths 6.823, 6.823, 6.823 Å; angles 58.57, 58.57, 58.57 degrees
Sites, in units of the cell vectors:
1 Na 0.000 0.500 0.500
2 Na 0.500 0.000 0.500
3 Na 0.500 0.500 0.000
4 Ho 0.000 0.000 0.500
5 Ho 0.000 0.500 0.000
6 Ho 0.500 0.000 0.000
7 Ta 0.500 0.500 0.500
8 O 0.239 0.239 0.239
9 O 0.264 0.716 0.716
10 O 0.284 0.284 0.736
11 O 0.284 0.736 0.284
12 O 0.716 0.264 0.716
13 O 0.716 0.716 0.264
14 O 0.736 0.284 0.284
15 O 0.761 0.761 0.761

Raw formation energy = -2.752 eV per atom
D(E_F) = 0.212 states/eV per atom



(22)
VASP calculation (GGA-PBE) on crystalline LaOs2Ru at its relaxed geometry.

Cell lengths 4.072, 4.072, 4.282 Å; angles 90.00, 90.00, 90.00 degrees
Sites, in units of the cell vectors:
1 La 0.000 0.000 0.000
2 Os 0.000 0.500 0.500
3 Os 0.500 0.000 0.500
4 Ru 0.500 0.500 0.000

Formation enthalpy at 0 K = 0.653 eV/atom
D(E_F) = 1.828 states/eV per atom
Offset from the most stable computed form = 0.330 eV/atom



(23)
VASP calculation (GGA-PBE) on crystalline KRuPb3 at its relaxed geometry.

Cell lengths 5.430, 5.430, 5.430 Å; angles 90.00, 90.00, 90.00 degrees
Sites, in units of the cell vectors:
1 K 0.000 0.000 0.000
2 Ru 0.500 0.500 0.500
3 Pb 0.000 0.500 0.500
4 Pb 0.500 0.000 0.500
5 Pb 0.500 0.500 0.000

Formation enthalpy at 0 K = 0.221 eV/atom
D(E_F) = 0.965 states/eV per atom
Offset from the most stable computed form = 0.000 eV/atom



(24)
VASP calculation (GGA-PBE) on crystalline CePmGa6 at its relaxed geometry.

Cell lengths 6.396, 6.396, 4.600 Å; angles 90.00, 90.00, 120.00 degrees
Sites, in units of the cell vectors:
1 Ce 0.000 0.000 0.000
2 Pm 0.667 0.333 0.500
3 Ga 0.045 0.522 0.000
4 Ga 0.188 0.376 0.500
5 Ga 0.188 0.812 0.500
6 Ga 0.478 0.522 0.000
7 Ga 0.478 0.955 0.000
8 Ga 0.624 0.812 0.500

Formation enthalpy at 0 K = -0.565 eV/atom
D(E_F) = 0.727 states/eV per atom



(25)
VASP calculation (GGA-PBE) on crystalline TiOsF2 at its relaxed geometry.

Cell lengths 8.124, 8.124, 8.124 Å; angles 154.28, 154.28, 36.69 degrees
Sites, in units of the cell vectors:
1 Ti 0.000 0.000 0.000
2 Ti 0.750 0.250 0.500
3 Os 0.250 0.750 0.500
4 Os 0.500 0.500 0.000
5 F 0.117 0.625 0.992
6 F 0.375 0.367 0.492
7 F 0.633 0.125 0.008
8 F 0.875 0.883 0.508

Raw formation energy = -0.776 eV per atom
D(E_F) = 0.139 states/eV per atom
Offset from the most stable computed form = 0.342 eV/atom



Number 1: volume 80.79 Å³ per cell, raw total energy -5.296 eV/atom. Number 2: volume 58.18 Å³ per cell, raw total energy -6.754 eV/atom. Number 3: volume 80.67 Å³ per cell, raw total energy -4.499 eV/atom. Number 4: volume 243.87 Å³ per cell, raw total energy -2.978 eV/atom. Number 5: volume 96.72 Å³ per cell, raw total energy -2.844 eV/atom. Number 6: volume 101.16 Å³ per cell, raw total energy -2.558 eV/atom. Number 7: volume 181.94 Å³ per cell, raw total energy -7.977 eV/atom. Number 8: volume 136.89 Å³ per cell, raw total energy -5.028 eV/atom. Number 9: volume 116.12 Å³ per cell, raw total energy -5.845 eV/atom. Number 10: volume 198.70 Å³ per cell, raw total energy -5.924 eV/atom. Number 11: volume 203.86 Å³ per cell, raw total energy -3.438 eV/atom. Number 12: volume 138.49 Å³ per cell, raw total energy -2.727 eV/atom. Number 13: volume 484.17 Å³ per cell, raw total energy -3.774 eV/atom. Number 14: volume 228.91 Å³ per cell, raw total energy -4.607 eV/atom. Number 15: volume 514.93 Å³ per cell, raw total energy -5.341 eV/atom. Number 16: volume 70.41 Å³ per cell, raw total energy -4.604 eV/atom. Number 17: volume 79.28 Å³ per cell, raw total energy -8.260 eV/atom. Number 18: volume 202.42 Å³ per cell, raw total energy -8.697 eV/atom. Number 19: volume 336.58 Å³ per cell, raw total energy -6.534 eV/atom. Number 20: volume 67.24 Å³ per cell, raw total energy -7.400 eV/atom. Number 21: volume 217.21 Å³ per cell, raw total energy -7.366 eV/atom. Number 22: volume 71.02 Å³ per cell, raw total energy -8.513 eV/atom. Number 23: volume 160.07 Å³ per cell, raw total energy -4.079 eV/atom. Number 24: volume 162.98 Å³ per cell, raw total energy -4.170 eV/atom. Number 25: volume 100.81 Å³ per cell, raw total energy -6.493 eV/atom.